(1)
DFT (PBE) results for a geometry-optimized MnB2I2 structure.

Lattice parameters (Å, degrees): 7.686 7.686 3.432 90.00 90.00 90.00
Atoms (fractional coordinates):
Mn 0.000 0.000 0.000
Mn 0.500 0.500 0.000
B 0.195 0.305 0.500
B 0.305 0.805 0.500
B 0.695 0.195 0.500
B 0.805 0.695 0.500
I 0.159 0.659 0.000
I 0.341 0.159 0.000
I 0.659 0.841 0.000
I 0.841 0.341 0.000

Calculated values
- Raw formation energy: 1.669 eV/atom
- Polymorph energy (0 for the lowest one): 0.026 eV per atom
- SG: P4/mbm
- Density of states at the Fermi level: 2.19 states/eV/f.u.



(2)
DFT (PBE) results for a geometry-optimized RbScC structure.

Lattice parameters (Å, degrees): 3.261 4.876 11.794 90.00 97.12 90.00
Atoms (fractional coordinates):
Rb 0.000 0.000 0.000
Rb 0.218 0.500 0.374
Sc 0.840 0.000 0.644
Sc 0.903 0.500 0.786
C 0.397 0.146 0.771
C 0.397 0.854 0.771

Calculated values
- Polymorph energy (0 for the lowest one): 0.211 eV per atom
- Energy of formation: 0.24 eV per atom
- SG: Pm
- Density of states at the Fermi level: 3.97 states/eV/f.u.



(3)
DFT (PBE) results for a geometry-optimized Sc2GeMoOs structure.

Lattice parameters (Å, degrees): 4.995 4.995 4.707 90.00 90.00 90.00
Atoms (fractional coordinates):
Sc 0.000 0.500 0.000
Sc 0.500 0.000 0.000
Ge 0.000 0.000 0.500
Mo 0.500 0.500 0.500
Os 0.000 0.000 0.000

Calculated values
- Energy of formation: 0.60 eV per atom
- SG: P4/mmm
- Density of states at the Fermi level: 2.88 states/eV/f.u.



(4)
DFT (PBE) results for a geometry-optimized Sm6SiP2Br3 structure.

Lattice parameters (Å, degrees): 9.625 9.625 8.681 106.37 106.37 24.88
Atoms (fractional coordinates):
Sm 0.012 0.012 0.228
Sm 0.322 0.322 0.446
Sm 0.343 0.343 0.888
Sm 0.657 0.657 0.112
Sm 0.678 0.678 0.554
Sm 0.988 0.988 0.772
Si 0.500 0.500 0.000
P 0.168 0.168 0.334
P 0.832 0.832 0.666
Br 0.166 0.166 0.832
Br 0.500 0.500 0.500
Br 0.834 0.834 0.168

Calculated values
- Raw formation energy: -1.350 eV/atom
- SG: C2/m
- Density of states at the Fermi level: 5.09 states/eV/f.u.



(5)
DFT (PBE) results for a geometry-optimized Ba2YErS4 structure.

Lattice parameters (Å, degrees): 7.098 4.109 7.519 90.00 108.43 90.00
Atoms (fractional coordinates):
Ba 0.000 0.000 0.000
Ba 0.500 0.500 0.000
Y 0.000 0.500 0.500
Er 0.500 0.000 0.500
S 0.239 0.000 0.708
S 0.267 0.500 0.293
S 0.733 0.500 0.707
S 0.761 0.000 0.292

Calculated values
- Raw formation energy: -2.003 eV/atom
- SG: P2/m
- Density of states at the Fermi level: 3.77 states/eV/f.u.



(6)
DFT (PBE) results for a geometry-optimized Cd4In2Hg5 structure.

Lattice parameters (Å, degrees): 6.280 6.280 9.355 113.66 113.66 59.91
Atoms (fractional coordinates):
Cd 0.123 0.123 0.367
Cd 0.266 0.266 0.987
Cd 0.734 0.734 0.013
Cd 0.877 0.877 0.633
In 0.425 0.425 0.771
In 0.575 0.575 0.229
Hg 0.000 0.000 0.000
Hg 0.120 0.601 0.340
Hg 0.399 0.880 0.660
Hg 0.601 0.120 0.340
Hg 0.880 0.399 0.660

Calculated values
- Polymorph energy (0 for the lowest one): 0.016 eV per atom
- Energy of formation: 0.04 eV per atom
- SG: C2/m
- Density of states at the Fermi level: 3.48 states/eV/f.u.



(7)
DFT (PBE) results for a geometry-optimized Pm2DyTh3Bi6 structure.

Lattice parameters (Å, degrees): 10.223 10.223 9.125 102.78 102.78 25.87
Atoms (fractional coordinates):
Pm 0.167 0.167 0.333
Pm 0.833 0.833 0.667
Dy 0.500 0.500 0.000
Th 0.168 0.168 0.834
Th 0.500 0.500 0.500
Th 0.832 0.832 0.166
Bi 0.000 0.000 0.244
Bi 0.000 0.000 0.756
Bi 0.333 0.333 0.418
Bi 0.336 0.336 0.917
Bi 0.664 0.664 0.083
Bi 0.667 0.667 0.582

Calculated values
- Energy of formation: -0.74 eV per atom
- SG: C2/m
- Density of states at the Fermi level: 6.60 states/eV/f.u.



(8)
DFT (PBE) results for a geometry-optimized Zr2PaCr structure.

Lattice parameters (Å, degrees): 3.126 3.126 30.058 90.00 90.00 120.00
Atoms (fractional coordinates):
Zr 0.000 0.000 0.101
Zr 0.000 0.000 0.899
Zr 0.333 0.667 0.565
Zr 0.333 0.667 0.768
Zr 0.667 0.333 0.232
Zr 0.667 0.333 0.435
Pa 0.000 0.000 0.000
Pa 0.333 0.667 0.667
Pa 0.667 0.333 0.333
Cr 0.000 0.000 0.500
Cr 0.333 0.667 0.167
Cr 0.667 0.333 0.833

Calculated values
- Energy of formation: 0.42 eV per atom
- SG: R-3m
- Density of states at the Fermi level: 4.43 states/eV/f.u.



Number 1: uncorrected energy -3.46 eV/atom. Number 2: uncorrected energy -5.27 eV/atom. Number 3: uncorrected energy -7.26 eV/atom. Number 4: uncorrected energy -5.48 eV/atom. Number 5: uncorrected energy -5.93 eV/atom. Number 6: uncorrected energy -0.93 eV/atom. Number 7: uncorrected energy -5.71 eV/atom. Number 8: uncorrected energy -8.64 eV/atom.